Entry from Alexandria: an optimized crystal structure of CrNiCl2O (PBE+U).

Calculated values
Fermi-level density of states   5.048 states/eV/f.u.
DFT total energy   -18.668 eV per cell

abc: 5.3316 5.3316 3.4746
angles: 90.00 90.00 90.00
Each line ends with the local moment (μB).
Fractional coordinates of all 5 atoms:
Ni 0.0000 0.0000 0.5000  1.50
Cl 0.0000 0.5000 0.0000  0.11
Cl 0.5000 0.0000 0.0000  0.11
O 0.0000 0.0000 0.0000  0.71
Cr 0.5000 0.5000 0.5000  4.35